1.
! Sm3GeRh, relaxed, DFT PBE-GGA; values from VASP
&SYSTEM
  ibrav = 0, nat = 10, ntyp = 3
/
ATOMIC_SPECIES
Sm 150.36 Sm.upf
Ge 72.64 Ge.upf
Rh 102.91 Rh.upf
ATOMIC_POSITIONS crystal
Sm 0.0478 0.0478 0.3235
Sm 0.2459 0.2459 0.6951
Sm 0.3886 0.3886 0.0655
Sm 0.6114 0.6114 0.9345
Sm 0.7541 0.7541 0.3049
Sm 0.9522 0.9522 0.6765
Ge 0.3913 0.3913 0.4317
Ge 0.6087 0.6087 0.5683
Rh 0.1936 0.1936 0.0878
Rh 0.8064 0.8064 0.9122
CELL_PARAMETERS angstrom
7.3578 -2.1465 0.0000
7.3578 2.1465 0.0000
-0.1021 0.0000 8.3743
! - Uncorrected energy: -5.86 eV per atom

2.
! SmGe12Rh4, relaxed, DFT PBE-GGA; values from VASP
&SYSTEM
  ibrav = 0, nat = 17, ntyp = 3
/
ATOMIC_SPECIES
Sm 150.36 Sm.upf
Ge 72.64 Ge.upf
Rh 102.91 Rh.upf
ATOMIC_POSITIONS crystal
Sm 0.0000 0.0000 0.0000
Ge 0.1534 0.3493 0.5026
Ge 0.1534 0.6507 0.8041
Ge 0.1959 0.8466 0.3493
Ge 0.3493 0.1959 0.8466
Ge 0.3493 0.5026 0.1534
Ge 0.4974 0.8466 0.6507
Ge 0.5026 0.1534 0.3493
Ge 0.6507 0.4974 0.8466
Ge 0.6507 0.8041 0.1534
Ge 0.8041 0.1534 0.6507
Ge 0.8466 0.3493 0.1959
Ge 0.8466 0.6507 0.4974
Rh 0.0000 0.0000 0.5000
Rh 0.0000 0.5000 0.0000
Rh 0.5000 0.0000 0.0000
Rh 0.5000 0.5000 0.5000
CELL_PARAMETERS angstrom
-4.3223 4.3223 4.3223
4.3223 -4.3223 4.3223
4.3223 4.3223 -4.3223
! - Uncorrected energy: -5.55 eV per atom